VASP calculation (PBE) on a relaxed structure of YTmCSe.

Properties
Formation energy (no corrections) (eV per atom): -1.12
Density (g/cm³): 7.28
Total energy (Ha/atom): -0.2585

```
data_YTmCSe
_chemical_formula_sum 'Y3 Tm3 C3 Se3'
_cell_length_a 3.7089
_cell_length_b 3.7089
_cell_length_c 20.0361
_cell_angle_alpha 90.00
_cell_angle_beta 90.00
_cell_angle_gamma 120.00
_space_group_name_H-M_alt 'R 3 m'
_space_group_IT_number 160
_space_group_name_Hall 'R 3 -2"'
loop_
_atom_site_label
_atom_site_fract_x
_atom_site_fract_y
_atom_site_fract_z
Y1 0.0000 0.0000 0.0000
Tm1 0.0000 0.0000 0.7992
C1 0.0000 0.0000 0.4019
Se1 0.0000 0.0000 0.2306
```